(1)
The following is a PBE-GGA calculation of crystalline AlCu3N3 at its relaxed geometry, from Alexandria.

Calculated values
As for the volume: 67.27 Å³/f.u. The calculation puts the uncorrected formation energy at 93 meV per atom. The calculation puts the density at 6.4 g/cm3. As for the total DFT energy (no corrections): -40.36 eV/f.u.

Cell: 4.067 4.067 4.067 Å, 90.00 90.00 90.00°
Element x y z (fractional)
Al: 0.500 0.500 0.500
Cu: 0.000 0.500 0.000
Cu: 0.000 0.000 0.500
Cu: 0.500 0.000 0.000
N: 0.500 0.000 0.500
N: 0.500 0.500 0.000
N: 0.000 0.500 0.500



(2)
The following is a PBE-GGA calculation of crystalline Sc6AlCd at its relaxed geometry, from Alexandria.

Calculated values
Its formation energy is 109 meV per atom. As for the volume: 200.03 Å³/f.u. The calculation puts the density at 3.4 g/cm3. As for the total DFT energy (no corrections): -41.78 eV/f.u.

Cell: 5.073 5.073 8.401 Å, 76.69 76.69 75.28°
Element x y z (fractional)
Sc: 0.060 0.553 0.307
Sc: 0.553 0.060 0.307
Sc: 0.447 0.940 0.693
Sc: 0.940 0.447 0.693
Sc: 0.360 0.360 0.936
Sc: 0.640 0.640 0.064
Al: 0.500 0.500 0.500
Cd: 0.000 0.000 0.000



(3)
The following is a PBE-GGA calculation of crystalline ScZnNi2Ru at its relaxed geometry, from Alexandria.

Calculated values
Its formation energy is 1078 meV per atom. As for the volume: 89.31 Å³/f.u. The calculation puts the density at 6.1 g/cm3. As for the total DFT energy (no corrections): -23.05 eV/f.u.

Cell: 4.389 4.636 4.389 Å, 90.00 90.00 90.00°
Last column: magnetic moment on the atom in μB.
Element x y z (fractional)
Sc: 0.000 0.000 0.000  -0.02
Ru: 0.000 0.500 0.000  0.47
Zn: 0.500 0.500 0.500  -0.01
Ni: 0.000 0.000 0.500  0.04
Ni: 0.500 0.000 0.000  0.01